The following is a DFT calculation (GGA-PBEsol) of a geometry-optimized CoTe2MoI structure.

abc: 5.127 5.127 5.613
angles: 90.00 90.00 90.00
Space group P4/mmm (No. 123)
Asymmetric unit:
Co  0.000  0.000  0.000 (multiplicity 1)
Te  0.000  0.500  0.500 (multiplicity 2)
Mo  0.500  0.500  0.500 (multiplicity 1)
I  0.500  0.500  0.000 (multiplicity 1)

Summary:
The value obtained for the raw formation energy is 25.8 kcal/mol of atoms.